1.
Here is a relaxed structure of V3CrFe from Alexandria. Energies are from PBE.

Lattice parameters (Å, degrees): 5.1872 5.1872 6.5564 66.70 66.70 60.00
Last column: nearest neighbours and their distance in Å.
Sites, in units of the cell vectors:
V1 0.6160 0.0984 0.6698  2 Cr 2.43-2.45, 6 V 2.50-2.68, 2 Fe 2.66
V2 0.3842 0.9016 0.3302  2 Cr 2.43-2.45, 6 V 2.50-2.68, 2 Fe 2.66
V3 0.6158 0.6160 0.6698  2 Cr 2.43-2.45, 6 V 2.50-2.68, 2 Fe 2.66
V4 0.3840 0.3842 0.3302  2 Cr 2.43-2.45, 6 V 2.50-2.68, 2 Fe 2.66
V5 0.9016 0.3840 0.3302  2 Cr 2.43-2.45, 6 V 2.50-2.68, 2 Fe 2.66
V6 0.0984 0.6158 0.6698  2 Cr 2.43-2.45, 6 V 2.50-2.68, 2 Fe 2.66
Cr1 0.6653 0.6653 0.0042  6 V 2.43-2.45
Cr2 0.3347 0.3347 0.9958  6 V 2.43-2.45
Fe1 0.9244 0.9244 0.2268  1 Fe 2.65, 9 V 2.66-2.96
Fe2 0.0756 0.0756 0.7732  1 Fe 2.65, 9 V 2.66-2.96

Results
formation enthalpy at 0 K = 0.470 eV per atom
space-group type = R-3m (166)


2.
Here is a relaxed structure of V6CrFe from Alexandria. Energies are from PBE.

Lattice parameters (Å, degrees): 4.8593 4.8027 6.4690 48.46 66.85 84.26
Last column: nearest neighbours and their distance in Å.
Sites, in units of the cell vectors:
V1 0.6276 0.8807 0.8729  6 V 2.48-2.61, 1 Fe 2.51, 1 Cr 2.52
V2 0.8727 0.6190 0.6277  6 V 2.49-2.61, 1 Cr 2.51, 1 Fe 2.52
V3 0.7492 0.2509 0.2508  1 Cr 2.50, 1 Fe 2.51, 6 V 2.53-2.62
V4 0.2508 0.7491 0.7492  1 Cr 2.50, 1 Fe 2.51, 6 V 2.53-2.62
V5 0.3724 0.1193 0.1271  6 V 2.48-2.61, 1 Fe 2.51, 1 Cr 2.52
V6 0.1273 0.3810 0.3723  6 V 2.49-2.61, 1 Cr 2.51, 1 Fe 2.52
Cr1 0.5000 0.5000 0.5000  6 V 2.50-2.52, 2 Fe 2.61
Fe1 0.0000 0.0000 0.0000  6 V 2.51-2.52, 2 Cr 2.61

Results
formation enthalpy at 0 K = -0.081 eV per atom
space-group type = P-1 (2)


3.
Here is a relaxed structure of V8Cr2Fe from Alexandria. Energies are from PBE.

Lattice parameters (Å, degrees): 4.4046 6.3391 6.3391 80.12 72.76 72.76
Last column: nearest neighbours and their distance in Å.
Sites, in units of the cell vectors:
V1 0.8892 0.2697 0.2697  1 Cr 2.34, 5 V 2.45-2.62, 1 Fe 2.47
V2 0.8406 0.1548 0.6641  1 Fe 2.40, 4 V 2.45-2.64, 1 Cr 2.50
V3 0.1108 0.7303 0.7303  1 Cr 2.34, 5 V 2.45-2.62, 1 Fe 2.47
V4 0.1594 0.3359 0.8452  1 Fe 2.40, 4 V 2.45-2.64, 1 Cr 2.50
V5 0.2891 0.4260 0.4260  4 V 2.39-2.55
V6 0.1594 0.8452 0.3359  1 Fe 2.40, 4 V 2.45-2.64, 1 Cr 2.50
V7 0.7109 0.5740 0.5740  4 V 2.39-2.55
V8 0.8406 0.6641 0.1548  1 Fe 2.40, 4 V 2.45-2.64, 1 Cr 2.50
Cr1 0.4575 0.1289 0.1289  1 Fe 2.23, 1 V 2.34, 1 Cr 2.38
Cr2 0.5425 0.8711 0.8711  1 Fe 2.23, 1 V 2.34, 1 Cr 2.38
Fe1 0.0000 0.0000 0.0000  2 Cr 2.23, 6 V 2.40-2.47

Results
formation enthalpy at 0 K = 0.573 eV per atom
space-group type = C2/m (12)


4.
Here is a relaxed structure of V4Cr5Fe from Alexandria. Energies are from PBE.

Lattice parameters (Å, degrees): 4.1154 7.3054 4.7791 96.82 115.50 90.00
Last column: nearest neighbours and their distance in Å.
Sites, in units of the cell vectors:
Cr1 0.5000 0.5000 0.0000  6 V 2.37-2.55, 2 Cr 2.41
Cr2 0.2405 0.5895 0.4810  3 Cr 2.41-2.46, 4 V 2.51-2.60
Cr3 0.1535 0.9630 0.3070  2 V 2.24-2.32, 2 Fe 2.48
Cr4 0.8465 0.0370 0.6930  2 V 2.24-2.32, 2 Fe 2.48
Cr5 0.7595 0.4105 0.5190  3 Cr 2.41-2.46, 4 V 2.51-2.60
Fe1 0.5000 0.0000 0.0000  4 Cr 2.48, 2 V 2.50
V1 0.3122 0.2324 0.6244  4 Cr 2.24-2.51, 1 Fe 2.50
V2 0.6878 0.7676 0.3756  4 Cr 2.24-2.51, 1 Fe 2.50
V3 0.9718 0.6989 0.9436  4 Cr 2.32-2.55, 1 V 2.56
V4 0.0282 0.3011 0.0564  4 Cr 2.32-2.55, 1 V 2.56

Results
formation enthalpy at 0 K = 0.297 eV per atom
space-group type = C2/m (12)


5.
Here is a relaxed structure of VCrFe from Alexandria. Energies are from PBE.

Lattice parameters (Å, degrees): 2.4557 4.0816 4.0816 120.00 90.00 90.00
Last column: nearest neighbours and their distance in Å.
Sites, in units of the cell vectors:
Fe1 0.6637 0.3333 0.6667  2 Fe 2.46, 3 Cr 2.49, 3 V 2.50
V1 0.0061 0.0000 0.0000  2 V 2.46, 3 Cr 2.49, 3 Fe 2.50
Cr1 0.3302 0.6667 0.3333  2 Cr 2.46, 3 V 2.49, 3 Fe 2.49

Results
formation enthalpy at 0 K = 0.025 eV per atom
space-group type = P3m1 (156)


6.
Here is a relaxed structure of VCr2Fe from Alexandria. Energies are from PBE.

Lattice parameters (Å, degrees): 4.0651 4.0651 4.0651 60.00 60.00 60.00
Last column: nearest neighbours and their distance in Å.
Sites, in units of the cell vectors:
Cr1 0.2500 0.2500 0.2500  4 V 2.49, 4 Fe 2.49
Cr2 0.7500 0.7500 0.7500  4 Fe 2.49, 4 V 2.49
V1 0.0000 0.0000 0.0000  8 Cr 2.49
Fe1 0.5000 0.5000 0.5000  8 Cr 2.49

Results
formation enthalpy at 0 K = 0.050 eV per atom
space-group type = Fm-3m (225)


7.
Here is a relaxed structure of VCrFe14 from Alexandria. Energies are from PBE.

Lattice parameters (Å, degrees): 4.9385 4.9385 7.9915 90.00 90.00 108.44
Last column: nearest neighbours and their distance in Å.
Sites, in units of the cell vectors:
Fe1 0.6248 0.8752 0.0000  8 Fe 2.46-2.47
Fe2 0.8743 0.6241 0.2519  1 Cr 2.45, 1 V 2.46, 6 Fe 2.47-2.48
Fe3 0.8743 0.6241 0.7481  1 Cr 2.45, 1 V 2.46, 6 Fe 2.47-2.48
Fe4 0.6248 0.3752 0.0000  8 Fe 2.47
Fe5 0.3759 0.1257 0.7481  1 Cr 2.45, 1 V 2.46, 6 Fe 2.47-2.48
Fe6 0.1248 0.8752 0.0000  8 Fe 2.47-2.48
Fe7 0.1248 0.3752 0.0000  8 Fe 2.46-2.47
Fe8 0.3753 0.6247 0.7504  8 Fe 2.46-2.47
Fe9 0.3753 0.6247 0.2496  8 Fe 2.46-2.47
Fe10 0.6249 0.8750 0.5000  4 Fe 2.47, 2 V 2.47, 2 Cr 2.47
Fe11 0.8749 0.1251 0.7504  8 Fe 2.46-2.47
Fe12 0.1250 0.3751 0.5000  4 Fe 2.47, 2 V 2.47, 2 Cr 2.47
Fe13 0.8749 0.1251 0.2496  8 Fe 2.46-2.47
Fe14 0.3759 0.1257 0.2519  1 Cr 2.45, 1 V 2.46, 6 Fe 2.47-2.48
V1 0.1250 0.8750 0.5000  8 Fe 2.46-2.47
Cr1 0.6250 0.3750 0.5000  8 Fe 2.45-2.47

Results
formation enthalpy at 0 K = -0.027 eV per atom
space-group type = Cmmm (65)


8.
Here is a relaxed structure of V5CrFe2 from Alexandria. Energies are from PBE.

Lattice parameters (Å, degrees): 4.1015 4.1015 6.4973 108.40 108.40 90.00
Last column: nearest neighbours and their distance in Å.
Sites, in units of the cell vectors:
Fe1 0.7503 0.7503 0.5005  8 V 2.51
Fe2 0.2497 0.2497 0.4995  8 V 2.51
V1 0.6252 0.1252 0.2505  4 Fe 2.51, 2 V 2.52, 2 Cr 2.52
V2 0.3748 0.8748 0.7495  4 Fe 2.51, 2 V 2.52, 2 Cr 2.52
V3 0.8748 0.3748 0.7495  4 Fe 2.51, 2 Cr 2.52, 2 V 2.52
V4 0.1252 0.6252 0.2505  4 Fe 2.51, 2 Cr 2.52, 2 V 2.52
V5 0.5000 0.5000 0.0000  8 V 2.52
Cr1 0.0000 0.0000 0.0000  8 V 2.52

Results
formation enthalpy at 0 K = -0.144 eV per atom
space-group type = I4/mmm (139)


9.
Here is a relaxed structure of CrFeW2 from Alexandria. Energies are from PBE.

Lattice parameters (Å, degrees): 4.9864 4.9864 2.6450 79.92 79.92 115.14
Last column: nearest neighbours and their distance in Å.
Sites, in units of the cell vectors:
Fe1 0.0000 0.5000 0.5000  4 W 2.61, 2 Fe 2.65, 2 Cr 2.67
W1 0.0000 0.0000 0.0000  2 Fe 2.61, 2 Cr 2.61, 4 W 2.65-2.67
W2 0.5000 0.5000 0.0000  2 Cr 2.61, 2 Fe 2.61, 4 W 2.65-2.67
Cr1 0.5000 0.0000 0.5000  4 W 2.61, 2 Cr 2.65, 2 Fe 2.67

Results
formation enthalpy at 0 K = 0.164 eV per atom
space-group type = C2/m (12)


10.
Here is a relaxed structure of CrFeW2 from Alexandria. Energies are from PBE.

Lattice parameters (Å, degrees): 4.9241 4.9241 4.9241 142.89 127.73 65.83
Last column: nearest neighbours and their distance in Å.
Sites, in units of the cell vectors:
W1 0.5038 0.5038 0.0000  2 Cr 2.57, 2 Fe 2.62, 4 W 2.68
W2 0.9962 0.9962 0.0000  2 Cr 2.57, 2 Fe 2.62, 4 W 2.68
Cr1 0.7500 0.2500 0.5000  4 W 2.57, 4 Fe 2.68
Fe1 0.2500 0.7500 0.5000  4 W 2.62, 4 Cr 2.68

Results
formation enthalpy at 0 K = 0.168 eV per atom
space-group type = Immm (71)


11.
Here is a relaxed structure of CrFeW2 from Alexandria. Energies are from PBE.

Lattice parameters (Å, degrees): 2.6577 2.6577 8.3901 90.00 90.00 108.30
Last column: nearest neighbours and their distance in Å.
Sites, in units of the cell vectors:
Cr1 0.0000 0.0000 0.5133  2 Fe 2.44, 2 W 2.62, 4 Cr 2.66
W1 0.5000 0.5000 0.2627  2 Cr 2.62, 6 W 2.66-2.79
W2 0.0000 0.0000 0.9869  2 Fe 2.61, 6 W 2.66-2.79
Fe1 0.5000 0.5000 0.7372  2 Cr 2.44, 2 W 2.61, 4 Fe 2.66

Results
formation enthalpy at 0 K = 0.137 eV per atom
space-group type = Cmm2 (35)


12.
Here is a relaxed structure of CrFeW2 from Alexandria. Energies are from PBE.

Lattice parameters (Å, degrees): 3.0762 3.0762 5.9086 90.00 90.00 90.00
Last column: nearest neighbours and their distance in Å.
Sites, in units of the cell vectors:
Fe1 0.5000 0.5000 0.7442  4 Cr 2.59, 5 W 2.60-2.83
W1 0.5000 0.5000 0.2661  4 Cr 2.59, 4 W 2.74, 1 Fe 2.83
W2 0.0000 0.0000 0.9841  4 Fe 2.60, 4 W 2.74, 1 Cr 2.83
Cr1 0.0000 0.0000 0.5055  4 Fe 2.59, 5 W 2.59-2.83

Results
formation enthalpy at 0 K = 0.150 eV per atom
space-group type = P4mm (99)


13.
Here is a relaxed structure of CrFe6W from Alexandria. Energies are from PBE.

Lattice parameters (Å, degrees): 6.2057 6.2057 10.1314 90.00 90.00 109.43
Last column: nearest neighbours and their distance in Å.
Sites, in units of the cell vectors:
Cr1 0.7522 0.2478 0.7500  12 Fe 2.48-2.56
Cr2 0.5000 0.5000 0.0019  12 Fe 2.47-2.55
Cr3 0.5000 0.5000 0.4981  12 Fe 2.47-2.55
Cr4 0.2478 0.7522 0.7500  12 Fe 2.48-2.56
Fe1 0.6182 0.8715 0.6274  8 Fe 2.47-2.57, 3 Cr 2.50-2.54, 1 W 2.59
Fe2 0.2533 0.7467 0.9947  8 Fe 2.47-2.60, 2 Cr 2.48-2.50, 2 W 2.57-2.59
Fe3 0.1332 0.3799 0.3780  1 Cr 2.47, 8 Fe 2.50-2.60, 3 W 2.54-2.57
Fe4 0.6201 0.8668 0.3780  1 Cr 2.47, 8 Fe 2.50-2.60, 3 W 2.54-2.57
Fe5 0.0000 0.0000 0.7500  2 Cr 2.51, 2 W 2.55, 8 Fe 2.56
Fe6 0.1285 0.3818 0.8726  8 Fe 2.47-2.57, 3 Cr 2.50-2.54, 1 W 2.59
Fe7 0.6182 0.8715 0.8726  8 Fe 2.47-2.57, 3 Cr 2.50-2.54, 1 W 2.59
Fe8 0.2533 0.7467 0.5053  8 Fe 2.47-2.60, 2 Cr 2.48-2.50, 2 W 2.57-2.59
Fe9 0.8715 0.6182 0.6274  8 Fe 2.47-2.57, 3 Cr 2.50-2.54, 1 W 2.59
Fe10 0.5000 0.5000 0.7500  8 Fe 2.50, 4 Cr 2.55-2.56
Fe11 0.3799 0.1332 0.1220  1 Cr 2.47, 8 Fe 2.50-2.60, 3 W 2.54-2.57
Fe12 0.3818 0.1285 0.6274  8 Fe 2.47-2.57, 3 Cr 2.50-2.54, 1 W 2.59
Fe13 0.8668 0.6201 0.1220  1 Cr 2.47, 8 Fe 2.50-2.60, 3 W 2.54-2.57
Fe14 0.8715 0.6182 0.8726  8 Fe 2.47-2.57, 3 Cr 2.50-2.54, 1 W 2.59
Fe15 0.6201 0.8668 0.1220  1 Cr 2.47, 8 Fe 2.50-2.60, 3 W 2.54-2.57
Fe16 0.7467 0.2533 0.9947  8 Fe 2.47-2.60, 2 Cr 2.48-2.50, 2 W 2.57-2.59
Fe17 0.7467 0.2533 0.5053  8 Fe 2.47-2.60, 2 Cr 2.48-2.50, 2 W 2.57-2.59
Fe18 0.1332 0.3799 0.1220  1 Cr 2.47, 8 Fe 2.50-2.60, 3 W 2.54-2.57
Fe19 0.0000 0.0000 0.2500  4 W 2.50-2.51, 8 Fe 2.57
Fe20 0.3818 0.1285 0.8726  8 Fe 2.47-2.57, 3 Cr 2.50-2.54, 1 W 2.59
Fe21 0.3799 0.1332 0.3780  1 Cr 2.47, 8 Fe 2.50-2.60, 3 W 2.54-2.57
Fe22 0.1285 0.3818 0.6274  8 Fe 2.47-2.57, 3 Cr 2.50-2.54, 1 W 2.59
Fe23 0.5000 0.5000 0.2500  8 Fe 2.51, 2 Cr 2.51, 2 W 2.57
Fe24 0.8668 0.6201 0.3780  1 Cr 2.47, 8 Fe 2.50-2.60, 3 W 2.54-2.57
W1 0.0000 0.0000 0.0018  12 Fe 2.51-2.59
W2 0.0000 0.0000 0.4982  12 Fe 2.51-2.59
W3 0.2465 0.7535 0.2500  12 Fe 2.50-2.59
W4 0.7535 0.2465 0.2500  12 Fe 2.50-2.59

Results
formation enthalpy at 0 K = 0.065 eV per atom
space-group type = Cmmm (65)


14.
Here is a relaxed structure of CrFeW from Alexandria. Energies are from PBE.

Lattice parameters (Å, degrees): 5.7529 5.7529 5.7529 153.25 153.25 38.20
Last column: nearest neighbours and their distance in Å.
Sites, in units of the cell vectors:
Fe1 0.3489 0.3489 0.0000  4 Cr 2.36
W1 0.6707 0.6707 0.0000  4 W 2.66, 4 Fe 2.70, 4 Cr 2.80
Cr1 0.9804 0.9804 0.0000  4 Fe 2.36

Results
formation enthalpy at 0 K = 0.201 eV per atom
space-group type = I4mm (107)


15.
Here is a relaxed structure of CrFeW from Alexandria. Energies are from PBE.

Lattice parameters (Å, degrees): 4.6292 4.6507 9.1325 82.75 75.32 60.15
Last column: nearest neighbours and their distance in Å.
Sites, in units of the cell vectors:
W1 0.5793 0.8414 0.5000  4 Cr 2.58-2.59, 3 W 2.64-2.75
W2 0.9207 0.1586 0.5000  4 Cr 2.58-2.59, 3 W 2.64-2.75
W3 0.1707 0.6586 0.0000  4 Cr 2.58-2.59, 3 W 2.64-2.75
W4 0.8293 0.3414 0.0000  4 Cr 2.58-2.59, 3 W 2.64-2.75
Cr1 0.8756 0.0000 0.2488  2 Cr 2.33, 4 Fe 2.49-2.51, 4 W 2.58-2.59
Cr2 0.1244 0.0000 0.7512  2 Cr 2.33, 4 Fe 2.49-2.51, 4 W 2.58-2.59
Cr3 0.8744 0.5000 0.2512  2 Cr 2.33, 4 Fe 2.49-2.51, 4 W 2.58-2.59
Cr4 0.6256 0.5000 0.7488  2 Cr 2.33, 4 Fe 2.49-2.51, 4 W 2.58-2.59
Fe1 0.4277 0.0000 0.1446  4 Cr 2.49-2.51, 1 Fe 2.55
Fe2 0.3223 0.5000 0.3554  4 Cr 2.49-2.51, 1 Fe 2.55
Fe3 0.1777 0.5000 0.6446  4 Cr 2.49-2.51, 1 Fe 2.55
Fe4 0.5723 0.0000 0.8554  4 Cr 2.49-2.51, 1 Fe 2.55

Results
formation enthalpy at 0 K = 0.477 eV per atom
space-group type = Fddd (70)


16.
Here is a relaxed structure of CrFe2W from Alexandria. Energies are from PBE.

Lattice parameters (Å, degrees): 4.1418 4.1418 4.1418 60.00 60.00 60.00
Last column: nearest neighbours and their distance in Å.
Sites, in units of the cell vectors:
Fe1 0.2500 0.2500 0.2500  4 Cr 2.54, 4 W 2.54
Fe2 0.7500 0.7500 0.7500  4 Cr 2.54, 4 W 2.54
W1 0.5000 0.5000 0.5000  8 Fe 2.54
Cr1 0.0000 0.0000 0.0000  8 Fe 2.54

Results
formation enthalpy at 0 K = 0.176 eV per atom
space-group type = Fm-3m (225)


17.
Here is a relaxed structure of CrFeW from Alexandria. Energies are from PBE.

Lattice parameters (Å, degrees): 4.2222 4.2222 2.5706 90.00 90.00 120.00
Last column: nearest neighbours and their distance in Å.
Sites, in units of the cell vectors:
Fe1 0.6667 0.3333 0.3337  2 Fe 2.57, 3 W 2.59, 3 Cr 2.59
W1 0.3333 0.6667 0.6693  2 W 2.57, 3 Cr 2.58, 3 Fe 2.59
Cr1 0.0000 0.0000 0.9970  2 Cr 2.57, 3 W 2.58, 3 Fe 2.59

Results
formation enthalpy at 0 K = 0.175 eV per atom
space-group type = P3m1 (156)


18.
Here is a relaxed structure of CrFeW from Alexandria. Energies are from PBE.

Lattice parameters (Å, degrees): 4.7360 4.7360 4.7360 90.69 120.96 118.26
Last column: nearest neighbours and their distance in Å.
Sites, in units of the cell vectors:
W1 0.2500 0.1274 0.8774  6 Cr 2.74-2.83, 6 Fe 2.75-2.79, 4 W 2.88-2.93
W2 0.7500 0.8726 0.1226  6 Cr 2.74-2.83, 6 Fe 2.75-2.79, 4 W 2.88-2.93
Fe1 0.5000 0.0000 0.5000  4 Cr 2.37, 2 Fe 2.43
Fe2 0.0000 0.5000 0.5000  4 Cr 2.37, 2 Fe 2.43
Cr1 0.5000 0.5000 0.5000  2 Cr 2.33, 4 Fe 2.37
Cr2 0.0000 0.5000 0.0000  2 Cr 2.33, 4 Fe 2.37

Results
formation enthalpy at 0 K = 0.000 eV per atom
space-group type = Imma (74)


19.
Here is a relaxed structure of CrFe2W from Alexandria. Energies are from PBE.

Lattice parameters (Å, degrees): 2.6997 2.6997 6.6528 90.00 90.00 90.00
Last column: nearest neighbours and their distance in Å.
Sites, in units of the cell vectors:
W1 0.5000 0.5000 0.2500  8 Fe 2.67, 4 W 2.70
Fe1 0.0000 0.0000 0.9693  4 Cr 2.40, 4 W 2.67
Fe2 0.0000 0.0000 0.5307  4 Cr 2.40, 4 W 2.67
Cr1 0.5000 0.5000 0.7500  8 Fe 2.40

Results
formation enthalpy at 0 K = 0.149 eV per atom
space-group type = P4/mmm (123)


20.
Here is a relaxed structure of Cr2FeW from Alexandria. Energies are from PBE.

Lattice parameters (Å, degrees): 4.1727 2.5534 4.8813 80.40 90.00 90.00
Last column: nearest neighbours and their distance in Å.
Sites, in units of the cell vectors:
Fe1 0.5000 0.2500 0.2500  4 Cr 2.54, 2 Fe 2.55, 2 W 2.56
Cr1 0.0000 0.9873 0.0108  4 Cr 2.44-2.67, 2 Fe 2.54, 2 W 2.57
Cr2 0.0000 0.5127 0.4892  4 Cr 2.44-2.67, 2 Fe 2.54, 2 W 2.57
W1 0.5000 0.7500 0.7500  2 W 2.55, 2 Fe 2.56, 4 Cr 2.57

Results
formation enthalpy at 0 K = 0.159 eV per atom
space-group type = P2/m (10)


The following D(E_F) values (in states/eV per atom) correspond, in order, to the records above: 1.56, 1.10, 1.33, 0.96, 1.55, 1.28, 0.60, 0.79, 0.85, 0.80, 0.70, 0.72, 1.00, 1.34, 1.36, 0.83, 1.03, 1.31, 1.19, 1.00.